# 1
A relaxed structure of NiTe6Rh, computed with PBE-GGA.

Computed properties:
uncorrected energy: -100.1 eV/cell
crystal system: trigonal
Fermi-level density of states: 14.78 states/eV/cell
mass density: 7.77 g/cm3

Cell lengths 6.5595, 6.5595, 15.9546 Å; angles 90.00, 90.00, 120.00 degrees
Space group R-3 (No. 148, hexagonal axes)
One atom of each set of equivalent atoms:
Ni1 0.0000 0.0000 0.0000 [3 per cell]
Te1 0.0048 0.3091 0.7489 [18 per cell]
Rh1 0.0000 0.0000 0.5000 [3 per cell]

=====

# 2
A relaxed structure of LiLa2CoCu, computed with PBE-GGA.

Computed properties:
ΔE to the lowest computed polymorph: 3.67 kJ per mole of atoms
crystal system: tetragonal
Fermi-level density of states: 3.64 states/eV/cell
mass density: 5.40 g/cm3
formation enthalpy at 0 K: 0.090 eV per atom

Cell lengths 5.165, 5.165, 4.689 Å; angles 90.00, 90.00, 90.00 degrees
Space group P4/mmm (No. 123)
One atom of each set of equivalent atoms:
Li1 0.000 0.000 0.000 [1 per cell]
La1 0.000 0.500 0.500 [2 per cell]
Co1 0.000 0.000 0.500 [1 per cell]
Cu1 0.500 0.500 0.000 [1 per cell]

=====

# 3
A relaxed structure of Y2HgCl, computed with PBE-GGA.

Computed properties:
ΔE to the lowest computed polymorph: 19.29 kJ per mole of atoms
crystal system: tetragonal
Fermi-level density of states: 5.09 states/eV/cell
mass density: 5.52 g/cm3

Cell lengths 3.584, 3.584, 9.690 Å; angles 90.00, 90.00, 90.00 degrees
Space group P4mm (No. 99)
One atom of each set of equivalent atoms:
Y1 0.000 0.000 0.000 [1 per cell]
Y2 0.500 0.500 0.266 [1 per cell]
Hg1 0.500 0.500 0.809 [1 per cell]
Cl1 0.000 0.000 0.417 [1 per cell]